Record 1
# Tb2NdHo2 PBE optimized geometry
data_Tb2NdHo2
_chemical_formula_sum 'Tb16 Nd8 Ho16'
_cell_length_a 5.549
_cell_length_b 11.614
_cell_length_c 22.696
_cell_angle_alpha 90.00
_cell_angle_beta 90.00
_cell_angle_gamma 90.00
_space_group_name_H-M_alt 'F d d d'
_space_group_IT_number 70
loop_
_space_group_symop_operation_xyz
'x,y,z'
'-x,-y,-z'
'-x+1/4,-y+1/4,z'
'x+1/4,y+1/4,-z'
'x,-y+1/4,-z+1/4'
'-x,y+1/4,z+1/4'
'-x+1/4,y,-z+1/4'
'x+1/4,-y,z+1/4'
'x,y+1/2,z+1/2'
'-x,-y+1/2,-z+1/2'
'-x+1/4,-y+3/4,z+1/2'
'x+1/4,y+3/4,-z+1/2'
'x,-y+3/4,-z+3/4'
'-x,y+3/4,z+3/4'
'-x+1/4,y+1/2,-z+3/4'
'x+1/4,-y+1/2,z+3/4'
'x+1/2,y,z+1/2'
'-x+1/2,-y,-z+1/2'
'-x+3/4,-y+1/4,z+1/2'
'x+3/4,y+1/4,-z+1/2'
'x+1/2,-y+1/4,-z+3/4'
'-x+1/2,y+1/4,z+3/4'
'-x+3/4,y,-z+3/4'
'x+3/4,-y,z+3/4'
'x+1/2,y+1/2,z'
'-x+1/2,-y+1/2,-z'
'-x+3/4,-y+3/4,z'
'x+3/4,y+3/4,-z'
'x+1/2,-y+3/4,-z+1/4'
'-x+1/2,y+3/4,z+1/4'
'-x+3/4,y+1/2,-z+1/4'
'x+3/4,-y+1/2,z+1/4'
loop_
_atom_site_label
_atom_site_fract_x
_atom_site_fract_y
_atom_site_fract_z
Tb1 0.125 0.294 0.125
Nd1 0.125 0.125 0.625
Ho1 0.000 0.000 0.500
# E_form: 0.506 eV/atom
# Density of states at the Fermi level: 67.8 states/eV/cell

---

Record 2
# Tb4Nd10Ho PBE optimized geometry
data_Tb4Nd10Ho
_chemical_formula_sum 'Tb8 Nd20 Ho2'
_cell_length_a 12.388
_cell_length_b 12.388
_cell_length_c 7.821
_cell_angle_alpha 90.00
_cell_angle_beta 90.00
_cell_angle_gamma 90.00
_space_group_name_H-M_alt 'I 4/m'
_space_group_IT_number 87
_space_group_name_Hall '-I 4'
loop_
_atom_site_label
_atom_site_fract_x
_atom_site_fract_y
_atom_site_fract_z
Tb1 0.101 0.701 0.000
Nd1 0.000 0.500 0.250
Nd2 0.099 0.200 0.250
Ho1 0.000 0.000 0.500
# E_form: 0.693 eV/atom
# Density of states at the Fermi level: 41.3 states/eV/cell